Arrangement i

Density functional theory data (PBE) for an optimized crystal structure of Li6BiAu2.

Lattice parameters (Å, degrees): 7.7886 7.7886 8.7371 90.00 90.00 120.00
Space group R-3m (No. 166, hexagonal axes)
Inequivalent atoms, fractional coordinates:
Li1 0.0000 0.3278 0.0000 [18 per cell]
Bi1 0.0000 0.0000 0.5000 [3 per cell]
Au1 0.0000 0.0000 0.1588 [6 per cell]

Summary:
For the magnetic moment, the calculation gives 0.00 μB/cell.

Arrangement ii

Density functional theory data (PBE) for an optimized crystal structure of Li6BiAu2.

Lattice parameters (Å, degrees): 4.705 6.232 13.096 90.00 90.00 90.00
Space group Immm (No. 71)
Inequivalent atoms, fractional coordinates:
Li1 0.000 0.236 0.171 [8 per cell]
Li2 0.000 0.244 0.500 [4 per cell]
Bi1 0.000 0.500 0.000 [2 per cell]
Au1 0.000 0.500 0.331 [4 per cell]

Summary:
For the magnetic moment, the calculation gives 0.00 μB/cell.

Energies relative to the minimum, kJ/mol of atoms: arrangement i 0.0; arrangement ii 6.4

Arrangement i

Density functional theory data (PBE) for an optimized crystal structure of LiBi2Au.

Lattice parameters (Å, degrees): 4.684 4.684 19.568 90.00 90.00 90.00
Space group I-42d (No. 122)
Inequivalent atoms, fractional coordinates:
Li1 0.000 0.000 0.000 [4 per cell]
Bi1 0.250 0.250 0.125 [8 per cell]
Au1 0.000 0.000 0.500 [4 per cell]

Summary:
For the magnetic moment, the calculation gives 0.00 μB/cell.

Arrangement ii

Density functional theory data (PBE) for an optimized crystal structure of LiBi2Au.

Lattice parameters (Å, degrees): 7.295 7.295 7.295 90.00 90.00 90.00
Space group Fm-3m (No. 225)
Inequivalent atoms, fractional coordinates:
Li1 0.000 0.000 0.000 [4 per cell]
Bi1 0.250 0.250 0.250 [8 per cell]
Au1 0.000 0.000 0.500 [4 per cell]

Summary:
For the magnetic moment, the calculation gives 0.00 μB/cell.

Arrangement iii

Density functional theory data (PBE) for an optimized crystal structure of LiBi2Au.

Lattice parameters (Å, degrees): 7.763 4.482 6.339 90.00 113.74 90.00
Space group Cm (No. 8)
Inequivalent atoms, fractional coordinates:
Li1 0.000 0.000 0.000 [2 per cell]
Bi1 0.073 0.500 0.718 [2 per cell]
Bi2 0.262 0.500 0.287 [2 per cell]
Au1 0.336 0.000 0.007 [2 per cell]

Summary:
For the magnetic moment, the calculation gives 0.00 μB/cell.

Energies relative to the minimum, kJ/mol of atoms: arrangement i 9.5; arrangement ii 8.3; arrangement iii 0.0

Arrangement i

Density functional theory data (PBE) for an optimized crystal structure of LiBi2Au.

Lattice parameters (Å, degrees): 4.6534 4.6534 17.2791 90.00 90.00 120.00
Space group R3m (No. 160, hexagonal axes)
Inequivalent atoms, fractional coordinates:
Li1 0.0000 0.0000 0.0000 [3 per cell]
Bi1 0.0000 0.0000 0.5750 [3 per cell]
Bi2 0.0000 0.0000 0.7578 [3 per cell]
Au1 0.0000 0.0000 0.1636 [3 per cell]

Summary:
For the magnetic moment, the calculation gives 0.00 μB/cell.

Arrangement ii

Density functional theory data (PBE) for an optimized crystal structure of LiBi2Au.

Lattice parameters (Å, degrees): 3.5986 3.5986 29.9647 90.00 90.00 120.00
Space group R-3m (No. 166, hexagonal axes)
Inequivalent atoms, fractional coordinates:
Li1 0.0000 0.0000 0.0000 [3 per cell]
Bi1 0.0000 0.0000 0.0949 [6 per cell]
Au1 0.0000 0.0000 0.5000 [3 per cell]

Summary:
For the magnetic moment, the calculation gives 0.00 μB/cell.

Energies relative to the minimum, kJ/mol of atoms: arrangement i 0.0; arrangement ii 19.6

Arrangement i

Density functional theory data (PBE) for an optimized crystal structure of LiBiAu3.

Lattice parameters (Å, degrees): 4.662 4.662 4.662 90.00 90.00 90.00
Space group Pm-3m (No. 221)
Inequivalent atoms, fractional coordinates:
Li1 0.000 0.000 0.000 [1 per cell]
Bi1 0.500 0.500 0.500 [1 per cell]
Au1 0.000 0.000 0.500 [3 per cell]

Summary:
For the magnetic moment, the calculation gives 0.00 μB/cell.

Arrangement ii

Density functional theory data (PBE) for an optimized crystal structure of LiBiAu3.

Lattice parameters (Å, degrees): 5.519 5.598 6.954 71.11 74.80 84.02
Space group P-1 (No. 2)
Inequivalent atoms, fractional coordinates:
Li1 0.000 0.000 0.000 [1 per cell]
Li2 0.500 0.000 0.000 [1 per cell]
Bi1 0.202 0.443 0.168 [2 per cell]
Au1 0.129 0.839 0.374 [2 per cell]
Au2 0.331 0.343 0.685 [2 per cell]
Au3 0.342 0.839 0.711 [2 per cell]

Summary:
For the magnetic moment, the calculation gives 0.00 μB/cell.

Energies relative to the minimum, kJ/mol of atoms: arrangement i 30.3; arrangement ii 0.0

Arrangement i

Density functional theory data (PBE) for an optimized crystal structure of Li4BiAu.

Lattice parameters (Å, degrees): 7.493 7.844 4.587 90.00 127.47 90.00
Space group C2/m (No. 12)
Inequivalent atoms, fractional coordinates:
Li1 0.239 0.164 0.239 [8 per cell]
Bi1 0.000 0.500 0.000 [2 per cell]
Au1 0.000 0.000 0.500 [2 per cell]

Summary:
For the magnetic moment, the calculation gives 0.00 μB/cell.

Arrangement ii

Density functional theory data (PBE) for an optimized crystal structure of Li4BiAu.

Lattice parameters (Å, degrees): 14.452 6.905 5.262 90.00 111.15 90.00
Space group C2/m (No. 12)
Inequivalent atoms, fractional coordinates:
Li1 0.000 0.184 0.000 [4 per cell]
Li2 0.137 0.246 0.636 [8 per cell]
Li3 0.181 0.500 0.179 [4 per cell]
Bi1 0.186 0.000 0.187 [4 per cell]
Au1 0.000 0.500 0.252 [4 per cell]

Summary:
For the magnetic moment, the calculation gives 0.00 μB/cell.

Energies relative to the minimum, kJ/mol of atoms: arrangement i 4.8; arrangement ii 0.0

Arrangement i

Density functional theory data (PBE) for an optimized crystal structure of LiBiPdAu.

Lattice parameters (Å, degrees): 6.674 6.674 6.674 90.00 90.00 90.00
Space group F-43m (No. 216)
Inequivalent atoms, fractional coordinates:
Li1 0.000 0.000 0.000 [4 per cell]
Bi1 0.250 0.250 0.750 [4 per cell]
Pd1 0.000 0.000 0.500 [4 per cell]
Au1 0.250 0.250 0.250 [4 per cell]

Summary:
For the magnetic moment, the calculation gives 0.00 μB/cell.

Arrangement ii

Density functional theory data (PBE) for an optimized crystal structure of LiBiPdAu.

Lattice parameters (Å, degrees): 4.685 4.685 6.978 90.00 90.00 90.00
Space group I-4m2 (No. 119)
Inequivalent atoms, fractional coordinates:
Li1 0.000 0.000 0.000 [2 per cell]
Bi1 0.000 0.000 0.500 [2 per cell]
Pd1 0.000 0.500 0.750 [2 per cell]
Au1 0.000 0.500 0.250 [2 per cell]

Summary:
For the magnetic moment, the calculation gives 0.00 μB/cell.

Energies relative to the minimum, kJ/mol of atoms: arrangement i 1.3; arrangement ii 0.0

Arrangement i

Density functional theory data (PBE) for an optimized crystal structure of Mg3BiAu.

Lattice parameters (Å, degrees): 4.727 7.547 8.233 106.32 106.51 108.01
Space group P-1 (No. 2)
Inequivalent atoms, fractional coordinates:
Mg1 0.001 0.251 0.248 [2 per cell]
Mg2 0.287 0.396 0.682 [2 per cell]
Mg3 0.349 0.907 0.290 [2 per cell]
Bi1 0.336 0.214 0.962 [2 per cell]
Au1 0.342 0.675 0.509 [2 per cell]

Summary:
For the magnetic moment, the calculation gives 0.00 μB/cell.

Arrangement ii

Density functional theory data (PBE) for an optimized crystal structure of Mg3BiAu.

Lattice parameters (Å, degrees): 5.114 5.114 5.114 90.00 90.00 90.00
Space group Pm-3m (No. 221)
Inequivalent atoms, fractional coordinates:
Mg1 0.000 0.000 0.500 [3 per cell]
Bi1 0.500 0.500 0.500 [1 per cell]
Au1 0.000 0.000 0.000 [1 per cell]

Summary:
For the magnetic moment, the calculation gives 0.00 μB/cell.

Arrangement iii

Density functional theory data (PBE) for an optimized crystal structure of Mg3BiAu.

Lattice parameters (Å, degrees): 5.487 5.487 5.487 90.00 90.00 90.00
Space group Pm-3m (No. 221)
Inequivalent atoms, fractional coordinates:
Mg1 0.000 0.000 0.500 [3 per cell]
Bi1 0.000 0.000 0.000 [1 per cell]
Au1 0.500 0.500 0.500 [1 per cell]

Summary:
For the magnetic moment, the calculation gives 0.00 μB/cell.

Energies relative to the minimum, kJ/mol of atoms: arrangement i 0.0; arrangement ii 15.7; arrangement iii 73.5

Arrangement i

Density functional theory data (PBE) for an optimized crystal structure of Mg4BiAu.

Lattice parameters (Å, degrees): 4.609 4.609 7.138 90.00 90.00 90.00
Space group P4/mmm (No. 123)
Inequivalent atoms, fractional coordinates:
Mg1 0.000 0.500 0.220 [4 per cell]
Bi1 0.000 0.000 0.500 [1 per cell]
Au1 0.500 0.500 0.000 [1 per cell]

Summary:
For the magnetic moment, the calculation gives 0.00 μB/cell.

Arrangement ii

Density functional theory data (PBE) for an optimized crystal structure of Mg4BiAu.

Lattice parameters (Å, degrees): 8.502 12.425 5.708 90.00 110.47 90.00
Space group C2/c (No. 15)
Inequivalent atoms, fractional coordinates:
Mg1 0.112 0.177 0.069 [8 per cell]
Mg2 0.221 0.410 0.364 [8 per cell]
Bi1 0.000 0.375 0.750 [4 per cell]
Au1 0.000 0.001 0.750 [4 per cell]

Summary:
For the magnetic moment, the calculation gives 0.00 μB/cell.

Energies relative to the minimum, kJ/mol of atoms: arrangement i 0.0; arrangement ii 5.8